[1]
Entry from the Alexandria database: Si5Ag after structural relaxation (PBE).

Cell: 7.2907 7.2907 7.2907 Å, 90.00 90.00 90.00°
Space group F-43m (No. 216)
One atom of each set of equivalent atoms:
Si: 0.0000 0.0000 0.0000 [4 per cell]
Si: 0.1252 0.1252 0.6252 [16 per cell]
Ag: 0.2500 0.2500 0.2500 [4 per cell]

As for the energy relative to the lowest polymorph listed for this composition: 0.239 eV/atom. Its density of states at the Fermi level is 12.9 states/eV/cell. Its uncorrected formation energy is 0.622 eV per atom. The total energy comes out at -104.93 eV/cell.

---

[2]
Entry from the Alexandria database: Sm2Si2Ag3 after structural relaxation (PBE).

Cell: 3.7794 19.1598 4.1308 Å, 90.00 90.00 90.00°
Space group Cmmm (No. 65)
One atom of each set of equivalent atoms:
Sm: 0.0000 0.1654 0.0000 [4 per cell]
Si: 0.0000 0.2872 0.5000 [4 per cell]
Ag: 0.0000 0.0000 0.0000 [2 per cell]
Ag: 0.0000 0.4292 0.5000 [4 per cell]

Its density of states at the Fermi level is 4.5 states/eV/cell. Its uncorrected formation energy is -0.388 eV per atom. The total energy comes out at -63.10 eV/cell.